Entry 1:
A relaxed CaNi3As2 crystal. Source: the Alexandria database, functional GGA-PBE.

Cell: 3.8567 7.6963 7.2444 Å, 113.60 90.00 104.51°
Last column: nearest neighbours and their distance in Å.
Sites, in units of the cell vectors:
Ca 0.1502 0.3004 0.0647  7 As 3.01-3.14, 6 Ni 3.22-3.36
Ni 0.9544 0.9087 0.6153  3 As 2.31-2.34, 1 Ni 2.55
Ni 0.3140 0.6280 0.5545  4 As 2.36-2.56, 3 Ni 2.51-2.59
Ni 0.5903 0.1805 0.6606  3 As 2.32-2.41, 1 Ni 2.51
Ni 0.4097 0.8195 0.3394  3 As 2.32-2.41, 1 Ni 2.51
As 0.5225 0.0450 0.1951  4 Ni 2.31-2.36
Ca 0.8498 0.6996 0.9353  7 As 3.01-3.14, 6 Ni 3.22-3.36
As 0.4775 0.9550 0.8049  4 Ni 2.31-2.36
Ni 0.0456 0.0913 0.3847  3 As 2.31-2.34, 1 Ni 2.55
Ni 0.6860 0.3720 0.4455  4 As 2.36-2.56, 3 Ni 2.51-2.59
As 0.1913 0.3827 0.6825  6 Ni 2.34-2.56
As 0.8087 0.6173 0.3175  6 Ni 2.34-2.56

Formation energy ... -0.557 eV per atom
Energy above the most stable polymorph in this dataset ... 0.042 eV per atom

---

Entry 2:
A relaxed KTiSbTe2 crystal. Source: the Alexandria database, functional GGA-PBE.

Cell: 5.8370 5.8370 5.5843 Å, 90.00 90.00 90.00°
Last column: nearest neighbours and their distance in Å.
Sites, in units of the cell vectors:
Te 0.5000 0.0000 0.0000  2 K 2.92
Sb 0.0000 0.0000 0.5000  2 K 2.79
K 0.0000 0.0000 0.0000  2 Sb 2.79, 4 Te 2.92
Te 0.0000 0.5000 0.0000  2 K 2.92
Ti 0.5000 0.5000 0.5000  8 Te 4.04, 4 Sb 4.13

Formation energy (no corrections) ... 6.64 eV per formula unit
Energy above the most stable polymorph in this dataset ... 1.755 eV per atom

---

Entry 3:
A relaxed ZrScRu2 crystal. Source: the Alexandria database, functional GGA-PBE.

Cell: 4.5814 4.5815 3.2465 Å, 90.00 90.00 90.01°
Last column: nearest neighbours and their distance in Å.
Sites, in units of the cell vectors:
Sc 0.5000 0.0000 0.5000  8 Ru 2.81
Ru 0.0000 0.0000 0.0000  4 Sc 2.81, 4 Zr 2.81
Ru 0.5000 0.5000 0.0000  4 Zr 2.81, 4 Sc 2.81
Zr 0.0000 0.5000 0.5000  8 Ru 2.81

Formation energy ... -0.650 eV per atom

---

Entry 4:
A relaxed TlSnSb2Pb crystal. Source: the Alexandria database, functional GGA-PBE.

Cell: 5.0480 8.8776 9.0484 Å, 64.35 73.80 73.48°
Last column: nearest neighbours and their distance in Å.
Sites, in units of the cell vectors:
Sb 0.6220 0.1946 0.5615  2 Sn 3.05, 2 Pb 3.11-3.31, 1 Tl 3.35
Sb 0.3780 0.8054 0.4385  2 Sn 3.05, 2 Pb 3.11-3.31, 1 Tl 3.35
Tl 0.2473 0.2312 0.2741  5 Sb 3.35-3.48, 2 Pb 3.74
Pb 0.4045 0.4332 0.7579  4 Sb 3.11-3.31
Sn 0.0689 0.0895 0.7728  4 Sb 3.00-3.06
Sb 0.8594 0.2866 0.9946  2 Sn 3.00-3.06, 2 Pb 3.19
Pb 0.5955 0.5668 0.2421  4 Sb 3.11-3.31
Sn 0.9311 0.9105 0.2272  4 Sb 3.00-3.06
Tl 0.7527 0.7688 0.7259  5 Sb 3.35-3.48, 2 Pb 3.74
Sb 0.1406 0.7134 0.0054  2 Sn 3.00-3.06, 2 Pb 3.19

Formation energy (no corrections) ... 0.02 eV per formula unit

---

Entry 5:
A relaxed ReAgAu crystal. Source: the Alexandria database, functional GGA-PBE.

Cell: 7.6435 7.4591 2.7255 Å, 83.44 75.81 20.75°
Last column: nearest neighbours and their distance in Å.
Sites, in units of the cell vectors:
Re 0.6670 0.6670 0.3330  6 Re 2.73-3.05, 2 Au 2.85, 2 Ag 2.86
Au 0.3318 0.3318 0.6682  6 Au 2.73-3.05, 2 Re 2.85, 2 Ag 2.91
Ag 0.0012 0.0012 0.9988  6 Ag 2.73-3.05, 2 Re 2.86, 2 Au 2.91

Formation energy ... 0.516 eV per atom
Energy above the most stable polymorph in this dataset ... 0.086 eV per atom

---

Entry 6:
A relaxed NaMg3 crystal. Source: the Alexandria database, functional GGA-PBE.

Cell: 6.2047 6.2047 6.2047 Å, 117.28 117.28 117.28°
Last column: nearest neighbours and their distance in Å.
Sites, in units of the cell vectors:
Na 0.0000 0.0000 0.0000  2 Na 3.10, 6 Mg 3.23
Mg 0.0000 0.5000 0.5000  6 Mg 3.10-3.23, 2 Na 3.23
Mg 0.5000 0.5000 0.0000  6 Mg 3.10-3.23, 2 Na 3.23
Mg 0.5000 0.0000 0.5000  6 Mg 3.10-3.23, 2 Na 3.23

Formation energy ... 0.076 eV per atom

---

Entry 7:
A relaxed Dy2Ho4Th crystal. Source: the Alexandria database, functional GGA-PBE.

Cell: 6.0994 6.5231 11.5909 Å, 90.00 106.03 90.00°
Last column: nearest neighbours and their distance in Å.
Sites, in units of the cell vectors:
Ho 0.6356 0.0073 0.2870  4 Ho 3.17-3.47, 1 Th 3.32, 1 Dy 3.38
Ho 0.3644 0.5073 0.7130  4 Ho 3.17-3.47, 1 Th 3.32, 1 Dy 3.38
Dy 0.2985 0.2500 0.4529  9 Ho 3.25-3.55
Th 0.8175 0.2500 0.8722  6 Ho 3.32-3.47, 2 Dy 3.32-3.33
Ho 0.0252 0.2500 0.1689  2 Dy 3.25-3.37, 3 Th 3.32-3.47, 2 Ho 3.44
Th 0.1825 0.7500 0.1278  6 Ho 3.32-3.47, 2 Dy 3.32-3.33
Dy 0.6205 0.7500 0.0088  2 Th 3.32-3.33, 5 Ho 3.37-3.71, 2 Dy 3.56
Ho 0.8601 0.2500 0.5810  4 Dy 3.34-3.40, 1 Th 3.46, 4 Ho 3.47-3.66
Ho 0.1399 0.7500 0.4190  4 Dy 3.34-3.40, 1 Th 3.46, 4 Ho 3.47-3.66
Ho 0.6356 0.4927 0.2870  4 Ho 3.17-3.47, 1 Th 3.32, 1 Dy 3.38
Ho 0.9748 0.7500 0.8311  2 Dy 3.25-3.37, 3 Th 3.32-3.47, 2 Ho 3.44
Dy 0.3795 0.2500 0.9912  2 Th 3.32-3.33, 5 Ho 3.37-3.71, 2 Dy 3.56
Dy 0.7015 0.7500 0.5471  9 Ho 3.25-3.55
Ho 0.3644 0.9927 0.7130  4 Ho 3.17-3.47, 1 Th 3.32, 1 Dy 3.38

Formation energy ... 0.148 eV per atom
Energy above the most stable polymorph in this dataset ... 0.129 eV per atom

---

Entry 8:
A relaxed PmTh2H6 crystal. Source: the Alexandria database, functional GGA-PBE.

Cell: 3.8511 5.4183 6.6897 Å, 113.89 106.93 90.00°
Last column: nearest neighbours and their distance in Å.
Sites, in units of the cell vectors:
H 0.8331 0.5836 0.6660  3 Th 2.36, 1 Pm 2.36
Pm 0.0000 0.0000 0.0000  8 H 2.36
Th 0.3343 0.3341 0.6682  8 H 2.35-2.36
H 0.1669 0.9175 0.3340  3 Th 2.36, 1 Pm 2.36
H 0.1669 0.4164 0.3340  3 Th 2.36, 1 Pm 2.36
Th 0.6657 0.6659 0.3318  8 H 2.35-2.36
H 0.5000 0.2517 0.0000  2 Th 2.35, 2 Pm 2.36
H 0.5000 0.7483 0.0000  2 Th 2.35, 2 Pm 2.36
H 0.8331 0.0825 0.6660  3 Th 2.36, 1 Pm 2.36

Total energy ... -4.980 eV per atom

---

Entry 9:
A relaxed ZrTa2As crystal. Source: the Alexandria database, functional GGA-PBE.

Cell: 8.5628 8.5628 8.5628 Å, 22.14 22.14 22.14°
Last column: nearest neighbours and their distance in Å.
Sites, in units of the cell vectors:
As 0.7454 0.7454 0.7454  3 Ta 2.62, 3 Zr 2.79
Zr 0.4938 0.4938 0.4938  3 As 2.79, 3 Ta 3.02
Ta 0.0067 0.0067 0.0067  3 As 2.62, 3 Ta 2.87
Ta 0.2540 0.2540 0.2540  3 Ta 2.87, 3 Zr 3.02

Formation energy ... -0.131 eV per atom

---

Entry 10:
A relaxed ReSi2Sb crystal. Source: the Alexandria database, functional GGA-PBE.

Cell: 5.0749 5.0749 5.0749 Å, 141.85 120.40 72.99°
Last column: nearest neighbours and their distance in Å.
Sites, in units of the cell vectors:
Re 0.7500 0.2500 0.5000  4 Si 2.54
Si 0.9861 0.9861 0.0000  2 Re 2.54, 2 Sb 2.72
Si 0.5139 0.5139 0.0000  2 Re 2.54, 2 Sb 2.72
Sb 0.2500 0.7500 0.5000  4 Si 2.72, 4 Re 3.02

Formation energy (no corrections) ... 2.52 eV per formula unit

---

Entry 11:
A relaxed LaFeAs2 crystal. Source: the Alexandria database, functional GGA-PBE.

Cell: 3.3478 3.3473 6.9897 Å, 90.00 90.00 90.00°
Last column: nearest neighbours and their distance in Å.
Sites, in units of the cell vectors:
La 0.5000 0.5000 0.7500  8 As 3.19, 4 La 3.35, 2 Fe 3.49
As 0.0000 0.0000 0.4433  1 As 2.70, 4 Fe 2.73
Fe 0.5000 0.5000 0.2500  8 As 2.73
As 0.0000 0.0000 0.0567  1 As 2.70, 4 Fe 2.73

Formation energy ... -0.281 eV per atom
Energy above the most stable polymorph in this dataset ... 0.397 eV per atom

---

Entry 12:
A relaxed HgBrNF2 crystal. Source: the Alexandria database, functional GGA-PBE.

Cell: 4.1922 6.5286 4.1922 Å, 90.00 90.00 90.00°
Last column: nearest neighbours and their distance in Å.
Sites, in units of the cell vectors:
F 0.5000 0.0000 0.0000  2 Br 2.10
N 0.5000 0.5000 0.5000  4 Hg 2.96
Br 0.0000 0.0000 0.0000  4 F 2.10
F 0.0000 0.0000 0.5000  2 Br 2.10
Hg 0.0000 0.5000 0.0000  4 N 2.96, 2 Br 3.26

Formation energy (no corrections) ... 3.45 eV per formula unit
Energy above the most stable polymorph in this dataset ... 0.248 eV per atom

---

Entry 13:
A relaxed BeTlCl2 crystal. Source: the Alexandria database, functional GGA-PBE.

Cell: 3.2821 3.2821 8.8748 Å, 90.00 90.00 90.00°
Last column: nearest neighbours and their distance in Å.
Sites, in units of the cell vectors:
Tl 0.0000 0.0000 0.4866  4 Tl 3.28, 5 Cl 3.48-3.63
Cl 0.5000 0.5000 0.1726  1 Be 1.87
Cl 0.0000 0.0000 0.8787  4 Be 2.44
Be 0.5000 0.5000 0.9622  1 Cl 1.87

Formation energy (no corrections) ... -2.30 eV per formula unit
Energy above the most stable polymorph in this dataset ... 0.192 eV per atom